# B7C5

An optimized crystal structure of B7C5 (PBE, the Alexandria database). Values from VASP.

```
&SYSTEM
  ibrav = 0, nat = 12, ntyp = 2
/
ATOMIC_SPECIES
B 10.81 B.upf
C 12.01 C.upf
ATOMIC_POSITIONS crystal
B 0.000 0.000 0.000
B 0.007 0.007 0.430
B 0.215 0.215 0.682
B 0.323 0.323 0.238
B 0.589 0.589 0.958
B 0.878 0.878 0.506
B 0.907 0.907 0.180
C 0.211 0.211 0.259
C 0.315 0.315 0.555
C 0.580 0.580 0.462
C 0.650 0.650 0.716
C 0.652 0.652 0.247
CELL_PARAMETERS angstrom
6.769 -1.291 0.000
6.769 1.291 0.000
-0.511 0.000 5.217
```

Values from the calculation:
Total magnetization = 0.000 μB per formula unit
Energy of formation from the pure elements = 426.1 meV/atom
Energy above the lowest structure with this stoichiometry = 0.262 eV/atom
Total DFT energy (no corrections) = -7.3123 eV/atom

# B3C7

An optimized crystal structure of B3C7 (PBE, the Alexandria database). Values from VASP.

```
&SYSTEM
  ibrav = 0, nat = 10, ntyp = 2
/
ATOMIC_SPECIES
B 10.81 B.upf
C 12.01 C.upf
ATOMIC_POSITIONS crystal
B 0.000 0.000 0.000
B 0.011 0.011 0.326
B 0.814 0.814 0.471
C 0.209 0.209 0.822
C 0.210 0.210 0.071
C 0.399 0.399 0.861
C 0.424 0.424 0.643
C 0.615 0.615 0.686
C 0.616 0.616 0.442
C 0.805 0.805 0.191
CELL_PARAMETERS angstrom
4.202 -1.295 0.000
4.202 1.295 0.000
-2.663 0.000 5.819
```

Values from the calculation:
Total magnetization = 0.000 μB per formula unit
Energy of formation from the pure elements = 285.0 meV/atom
Energy above the lowest structure with this stoichiometry = 0.023 eV/atom
Total DFT energy (no corrections) = -8.1750 eV/atom

# BC

An optimized crystal structure of BC (PBE, the Alexandria database). Values from VASP.

```
&SYSTEM
  ibrav = 0, nat = 12, ntyp = 2
/
ATOMIC_SPECIES
B 10.81 B.upf
C 12.01 C.upf
ATOMIC_POSITIONS crystal
B 0.000 0.000 0.000
B 0.144 0.144 0.226
B 0.234 0.234 0.048
B 0.553 0.553 0.496
B 0.820 0.820 0.571
B 0.901 0.901 0.171
C 0.207 0.207 0.832
C 0.404 0.404 0.870
C 0.415 0.415 0.690
C 0.615 0.615 0.725
C 0.736 0.736 0.350
C 0.944 0.944 0.390
CELL_PARAMETERS angstrom
4.187 -1.300 0.000
4.187 1.300 0.000
-3.617 0.000 7.204
```

Values from the calculation:
Total magnetization = 0.000 μB per formula unit
Energy of formation from the pure elements = 352.9 meV/atom
Energy above the lowest structure with this stoichiometry = 0.202 eV/atom
Total DFT energy (no corrections) = -7.5978 eV/atom

# BC

An optimized crystal structure of BC (PBE, the Alexandria database). Values from VASP.

```
&SYSTEM
  ibrav = 0, nat = 12, ntyp = 2
/
ATOMIC_SPECIES
B 10.81 B.upf
C 12.01 C.upf
ATOMIC_POSITIONS crystal
B 0.000 0.000 0.000
B 0.120 0.120 0.245
B 0.154 0.154 0.900
B 0.502 0.502 0.598
B 0.786 0.786 0.523
B 0.947 0.947 0.327
C 0.287 0.287 0.041
C 0.331 0.331 0.763
C 0.444 0.444 0.849
C 0.623 0.623 0.691
C 0.663 0.663 0.435
C 0.825 0.825 0.217
CELL_PARAMETERS angstrom
6.718 -1.290 0.000
6.718 1.290 0.000
-1.208 0.000 4.649
```

Values from the calculation:
Total magnetization = 0.000 μB per formula unit
Energy of formation from the pure elements = 386.8 meV/atom
Energy above the lowest structure with this stoichiometry = 0.236 eV/atom
Total DFT energy (no corrections) = -7.5638 eV/atom